La3ZrSb5 | GGA-PBEsol | optimized geometry

Structure (CIF):
```
data_La3ZrSb5
_chemical_formula_sum 'La6 Zr2 Sb10'
_cell_length_a 9.5019
_cell_length_b 9.5019
_cell_length_c 6.3068
_cell_angle_alpha 90.00
_cell_angle_beta 90.00
_cell_angle_gamma 120.00
_symmetry_space_group_name_H-M 'P 63/m c m'
_symmetry_Int_Tables_number 193
_symmetry_space_group_name_Hall '-P 6c 2'
loop_
_atom_site_label
_atom_site_fract_x
_atom_site_fract_y
_atom_site_fract_z
La1 0.0000 0.3829 0.2500
Zr1 0.0000 0.0000 0.0000
Sb1 0.0000 0.2616 0.7500
Sb2 0.3333 0.6667 0.0000
```

## Properties
Formation energy from raw total energies   -1104 meV per atom
Total magnetic moment   0.0 μB per cell